The following is a DFT calculation (GGA-PBE) of AlZn after structural relaxation.

Values from the calculation:
* total energy: -1.88 eV/atom

Unit cell a=5.8420 b=5.8420 c=5.8420 alpha=90.00 beta=90.00 gamma=90.00
Space group F-43m (No. 216)
Inequivalent atoms, fractional coordinates:
1 Al 0.0000 0.0000 0.0000 (multiplicity 4)
2 Zn 0.2500 0.2500 0.7500 (multiplicity 4)

=====

The following is a DFT calculation (GGA-PBE) of TmN2 after structural relaxation.

Values from the calculation:
* total energy: -5.87 eV/atom

Unit cell a=6.3351 b=6.3351 c=6.3351 alpha=90.00 beta=90.00 gamma=90.00
Space group Fd-3m (No. 227, origin choice 2)
Inequivalent atoms, fractional coordinates:
1 Tm 0.1250 0.1250 0.1250 (multiplicity 8)
2 N 0.0000 0.0000 0.5000 (multiplicity 16)

=====

The following is a DFT calculation (GGA-PBE) of ErLuB3 after structural relaxation.

Values from the calculation:
* total energy: -6.33 eV/atom

Unit cell a=5.8181 b=3.2305 c=7.3045 alpha=90.00 beta=92.10 gamma=90.00
Space group P2_1/m (No. 11)
Inequivalent atoms, fractional coordinates:
1 Er 0.2381 0.2500 0.2392 (multiplicity 2)
2 Lu 0.2624 0.2500 0.7444 (multiplicity 2)
3 B 0.0803 0.7500 0.4969 (multiplicity 2)
4 B 0.4195 0.7500 0.4977 (multiplicity 2)
5 B 0.4470 0.7500 0.9945 (multiplicity 2)

=====

The following is a DFT calculation (GGA-PBE) of GdMgZn after structural relaxation.

Values from the calculation:
* total energy: -2.60 eV/atom

Unit cell a=6.7588 b=6.8605 c=7.1635 alpha=93.62 beta=96.50 gamma=118.65
Space group P1 (No. 1)
Inequivalent atoms, fractional coordinates:
1 Gd 0.0000 0.0000 0.0000 (multiplicity 1)
2 Gd 0.0664 0.7135 0.5131 (multiplicity 1)
3 Gd 0.5169 0.2674 0.5045 (multiplicity 1)
4 Gd 0.9317 0.4951 0.9595 (multiplicity 1)
5 Mg 0.0268 0.2204 0.5849 (multiplicity 1)
6 Mg 0.4222 0.5109 0.8850 (multiplicity 1)
7 Mg 0.4653 0.0032 0.8850 (multiplicity 1)
8 Mg 0.5962 0.7904 0.5595 (multiplicity 1)
9 Zn 0.2363 0.4361 0.2695 (multiplicity 1)
10 Zn 0.3740 0.8522 0.2172 (multiplicity 1)
11 Zn 0.6716 0.6235 0.2277 (multiplicity 1)
12 Zn 0.7832 0.1885 0.2435 (multiplicity 1)

=====

The following is a DFT calculation (GGA-PBE) of Pu2InS4Cl after structural relaxation.

Values from the calculation:
* total energy: -7.51 eV/atom

Unit cell a=12.3593 b=3.8927 c=7.7744 alpha=90.00 beta=110.86 gamma=90.00
Space group C2/m (No. 12)
Inequivalent atoms, fractional coordinates:
1 Pu 0.1834 0.0000 0.1961 (multiplicity 4)
2 In 0.0000 0.0000 0.5000 (multiplicity 2)
3 S 0.1358 0.5000 0.4419 (multiplicity 4)
4 S 0.1651 0.0000 0.8225 (multiplicity 4)
5 Cl 0.0000 0.5000 0.0000 (multiplicity 2)

=====

The following is a DFT calculation (GGA-PBE) of Ta13Ni16 after structural relaxation.

Values from the calculation:
* formation enthalpy at 0 K: -194 meV per atom
* E above lowest polymorph: 0.000 eV per atom
* total energy: -8.58 eV/atom

Unit cell a=9.3342 b=9.3342 c=9.3342 alpha=90.00 beta=90.00 gamma=90.00
Space group I-43m (No. 217)
Inequivalent atoms, fractional coordinates:
1 Ta 0.0000 0.0000 0.0000 (multiplicity 2)
2 Ta 0.0693 0.3590 0.6410 (multiplicity 24)
3 Ni 0.0943 0.0943 0.7187 (multiplicity 24)
4 Ni 0.1532 0.1532 0.1532 (multiplicity 8)

=====

The following is a DFT calculation (GGA-PBE) of MgGa4Ir5 after structural relaxation.

Values from the calculation:
* total energy: -6.23 eV/atom

Unit cell a=3.0604 b=3.0604 c=15.3322 alpha=90.00 beta=90.00 gamma=90.00
Space group P4/mmm (No. 123)
Inequivalent atoms, fractional coordinates:
1 Mg 0.0000 0.0000 0.0000 (multiplicity 1)
2 Ga 0.0000 0.0000 0.1982 (multiplicity 2)
3 Ga 0.0000 0.0000 0.3996 (multiplicity 2)
4 Ir 0.5000 0.5000 0.1074 (multiplicity 2)
5 Ir 0.5000 0.5000 0.3025 (multiplicity 2)
6 Ir 0.5000 0.5000 0.5000 (multiplicity 1)

=====

The following is a DFT calculation (GGA-PBE) of Fe3P after structural relaxation.

Values from the calculation:
* E above lowest polymorph: 0.153 eV per atom
* total energy: -7.70 eV/atom

Unit cell a=3.4658 b=3.4658 c=3.4658 alpha=90.00 beta=90.00 gamma=90.00
Space group Pm-3m (No. 221)
Inequivalent atoms, fractional coordinates:
1 Fe 0.0000 0.0000 0.5000 (multiplicity 3)
2 P 0.5000 0.5000 0.5000 (multiplicity 1)